First-principles (PBE) data for Y2Cd after structural relaxation, as listed in Alexandria via LeMat-Bulk.

a = 13.172 Å, b = 3.686 Å, c = 7.480 Å
α = 90.00°, β = 105.58°, γ = 90.00°
Space group C2/m (No. 12)
Asymmetric unit:
Y1 0.019 0.000 0.276 (multiplicity 4)
Y2 0.196 0.500 0.646 (multiplicity 4)
Cd1 0.145 0.500 0.042 (multiplicity 4)

## Properties
Electronic total energy (eV per atom): -4.767
Volume (A^3/atom): 29.1
ΔH_f (0 K) (eV per atom): -0.15

First-principles (PBE) data for Rb2PaZnSe5 after structural relaxation, as listed in Alexandria via LeMat-Bulk.

a = 4.158 Å, b = 20.786 Å, c = 14.422 Å
α = 90.00°, β = 90.00°, γ = 90.00°
Space group Cmc2_1 (No. 36)
Asymmetric unit:
Rb1 0.000 0.122 0.000 (multiplicity 4)
Rb2 0.000 0.126 0.638 (multiplicity 4)
Pa1 0.000 0.202 0.331 (multiplicity 4)
Zn1 0.000 0.429 0.746 (multiplicity 4)
Se1 0.000 0.066 0.345 (multiplicity 4)
Se2 0.000 0.299 0.961 (multiplicity 4)
Se3 0.000 0.307 0.697 (multiplicity 4)
Se4 0.000 0.329 0.322 (multiplicity 4)
Se5 0.000 0.492 0.610 (multiplicity 4)

## Properties
Electronic total energy (eV per atom): -4.408
Volume (A^3/atom): 34.6
Formation energy from raw total energies (kJ/mol of atoms): -102

First-principles (PBE) data for Nd7Y3Mg after structural relaxation, as listed in Alexandria via LeMat-Bulk.

a = 11.630 Å, b = 10.373 Å, c = 6.484 Å
α = 90.00°, β = 92.93°, γ = 90.00°
Space group C2/m (No. 12)
Asymmetric unit:
Nd1 0.000 0.000 0.000 (multiplicity 2)
Nd2 0.235 0.168 0.263 (multiplicity 8)
Nd3 0.242 0.500 0.213 (multiplicity 4)
Y1 0.000 0.335 0.000 (multiplicity 4)
Y2 0.000 0.500 0.500 (multiplicity 2)
Mg1 0.000 0.000 0.500 (multiplicity 2)

## Properties
Electronic total energy (eV per atom): -4.720
Volume (A^3/atom): 35.5
ΔH_f (0 K) (eV per atom): 0.22

First-principles (PBE) data for AgGe2Br after structural relaxation, as listed in Alexandria via LeMat-Bulk.

a = 6.971 Å, b = 6.971 Å, c = 6.971 Å
α = 90.00°, β = 90.00°, γ = 90.00°
Space group Fm-3m (No. 225)
Asymmetric unit:
Ag1 0.000 0.000 0.000 (multiplicity 4)
Ge1 0.250 0.250 0.250 (multiplicity 8)
Br1 0.000 0.000 0.500 (multiplicity 4)

## Properties
Electronic total energy (eV per atom): -2.977
Volume (A^3/atom): 21.2
Formation energy from raw total energies (kJ/mol of atoms): 45

First-principles (PBE) data for La4BiSb2Br after structural relaxation, as listed in Alexandria via LeMat-Bulk.

a = 9.185 Å, b = 12.988 Å, c = 9.184 Å
α = 90.00°, β = 90.00°, γ = 90.00°
Space group Fmm2 (No. 42)
Asymmetric unit:
La1 0.000 0.248 0.000 (multiplicity 8)
La2 0.250 0.000 0.249 (multiplicity 8)
Bi1 0.000 0.000 0.999 (multiplicity 4)
Sb1 0.250 0.250 0.250 (multiplicity 8)
Br1 0.000 0.000 0.499 (multiplicity 4)

## Properties
Electronic total energy (eV per atom): -5.465
Volume (A^3/atom): 34.2
Formation energy from raw total energies (kJ/mol of atoms): -123

First-principles (PBE) data for NdDyYTm after structural relaxation, as listed in Alexandria via LeMat-Bulk.

a = 12.422 Å, b = 5.865 Å, c = 3.745 Å
α = 90.00°, β = 107.50°, γ = 90.00°
Space group Cm (No. 8)
Asymmetric unit:
Nd1 0.000 0.000 0.000 (multiplicity 2)
Dy1 0.013 0.500 0.512 (multiplicity 2)
Y1 0.264 0.000 0.761 (multiplicity 2)
Tm1 0.251 0.500 0.249 (multiplicity 2)

## Properties
Electronic total energy (eV per atom): -4.955
Volume (A^3/atom): 32.5
ΔH_f (0 K) (eV per atom): 0.12

First-principles (PBE) data for Zr2TaAlH after structural relaxation, as listed in Alexandria via LeMat-Bulk.

a = 4.526 Å, b = 4.526 Å, c = 3.975 Å
α = 90.00°, β = 90.00°, γ = 90.00°
Space group P4/mmm (No. 123)
Asymmetric unit:
Zr1 0.000 0.500 0.000 (multiplicity 2)
Ta1 0.000 0.000 0.500 (multiplicity 1)
Al1 0.500 0.500 0.500 (multiplicity 1)
H1 0.000 0.000 0.000 (multiplicity 1)

## Properties
Electronic total energy (eV per atom): -7.477
Volume (A^3/atom): 16.3

First-principles (PBE) data for NbTl2Zn after structural relaxation, as listed in Alexandria via LeMat-Bulk.

a = 7.065 Å, b = 7.065 Å, c = 7.065 Å
α = 90.00°, β = 90.00°, γ = 90.00°
Space group Fm-3m (No. 225)
Asymmetric unit:
Nb1 0.000 0.000 0.000 (multiplicity 4)
Tl1 0.250 0.250 0.250 (multiplicity 8)
Zn1 0.000 0.000 0.500 (multiplicity 4)

## Properties
Electronic total energy (eV per atom): -3.364
Volume (A^3/atom): 22.0
ΔH_f (0 K) (eV per atom): 0.65

First-principles (PBE) data for Na2CaAgF6 after structural relaxation, as listed in Alexandria via LeMat-Bulk.

a = 5.708 Å, b = 5.881 Å, c = 6.049 Å
α = 62.45°, β = 89.86°, γ = 62.07°
Space group P1 (No. 1)
Asymmetric unit:
Na1 0.000 0.000 0.000 (multiplicity 1)
Na2 0.495 0.996 0.498 (multiplicity 1)
Ca1 0.212 0.564 0.633 (multiplicity 1)
Ag1 0.711 0.571 0.126 (multiplicity 1)
F1 0.116 0.031 0.344 (multiplicity 1)
F2 0.300 0.101 0.802 (multiplicity 1)
F3 0.442 0.462 0.342 (multiplicity 1)
F4 0.601 0.465 0.856 (multiplicity 1)
F5 0.819 0.736 0.338 (multiplicity 1)
F6 0.919 0.740 0.850 (multiplicity 1)

## Properties
Electronic total energy (eV per atom): -4.456
Volume (A^3/atom): 15.3
Formation energy from raw total energies (kJ/mol of atoms): -249

First-principles (PBE) data for NaLiGdPb after structural relaxation, as listed in Alexandria via LeMat-Bulk.

a = 7.515 Å, b = 7.515 Å, c = 7.515 Å
α = 90.00°, β = 90.00°, γ = 90.00°
Space group F-43m (No. 216)
Asymmetric unit:
Na1 0.000 0.000 0.000 (multiplicity 4)
Li1 0.250 0.250 0.250 (multiplicity 4)
Gd1 0.000 0.000 0.500 (multiplicity 4)
Pb1 0.250 0.250 0.750 (multiplicity 4)

## Properties
Electronic total energy (eV per atom): -5.448
Volume (A^3/atom): 26.5
ΔH_f (0 K) (eV per atom): -0.19

First-principles (PBE) data for Sb5P3 after structural relaxation, as listed in Alexandria via LeMat-Bulk.

a = 7.284 Å, b = 10.671 Å, c = 4.776 Å
α = 90.00°, β = 90.00°, γ = 90.00°
Space group Cmmm (No. 65)
Asymmetric unit:
Sb1 0.000 0.000 0.000 (multiplicity 2)
Sb2 0.218 0.500 0.500 (multiplicity 4)
Sb3 0.250 0.250 0.000 (multiplicity 4)
P1 0.000 0.284 0.500 (multiplicity 4)
P2 0.000 0.500 0.000 (multiplicity 2)

## Properties
Electronic total energy (eV per atom): -4.158
Volume (A^3/atom): 23.2
Formation energy from raw total energies (kJ/mol of atoms): 43

First-principles (PBE) data for ZnNi4B after structural relaxation, as listed in Alexandria via LeMat-Bulk.

a = 4.333 Å, b = 5.206 Å, c = 11.238 Å
α = 90.00°, β = 90.00°, γ = 90.00°
Space group Immm (No. 71)
Asymmetric unit:
Zn1 0.000 0.000 0.196 (multiplicity 4)
Ni1 0.000 0.221 0.000 (multiplicity 4)
Ni2 0.000 0.259 0.382 (multiplicity 8)
Ni3 0.000 0.500 0.178 (multiplicity 4)
B1 0.200 0.000 0.500 (multiplicity 4)

## Properties
Electronic total energy (eV per atom): -5.365
Volume (A^3/atom): 10.6
ΔH_f (0 K) (eV per atom): -0.19

Number 1: total magnetic moment 0.10 μB/cell. Number 2: total magnetic moment 0.00 μB/cell. Number 3: total magnetic moment 0.00 μB/cell. Number 4: total magnetic moment 0.00 μB/cell. Number 5: total magnetic moment 0.00 μB/cell. Number 6: total magnetic moment 0.00 μB/cell. Number 7: total magnetic moment 0.00 μB/cell. Number 8: total magnetic moment 9.14 μB/cell. Number 9: total magnetic moment 1.07 μB/cell. Number 10: total magnetic moment 29.20 μB/cell. Number 11: total magnetic moment 0.00 μB/cell. Number 12: total magnetic moment 0.00 μB/cell.